Record 1
Below is crystalline Pm4SnHg at its relaxed geometry, with properties calculated at the PBE level.

Cell: 6.124 7.645 9.112 Å, 101.98 109.60 90.02°
Space group P-1 (No. 2)
Asymmetric unit:
Pm1 0.029 0.111 0.301 [2 per cell]
Pm2 0.271 0.611 0.301 [2 per cell]
Pm3 0.305 0.555 0.854 [2 per cell]
Pm4 0.450 0.944 0.146 [2 per cell]
Sn1 0.123 0.250 0.000 [2 per cell]
Hg1 0.000 0.500 0.500 [1 per cell]
Hg2 0.500 0.000 0.500 [1 per cell]

Results
Volume, Å³/atom: 32.66
DFT formation energy, eV/atom: -0.254

***

Record 2
Below is crystalline NaTbTm2 at its relaxed geometry, with properties calculated at the PBE level.

Cell: 3.4691 3.4691 37.7551 Å, 90.00 90.00 120.00°
Space group R-3m (No. 166, hexagonal axes)
Asymmetric unit:
Na1 0.0000 0.0000 0.0000 [3 per cell]
Tb1 0.0000 0.0000 0.5000 [3 per cell]
Tm1 0.0000 0.0000 0.0921 [6 per cell]

Results
Volume, Å³/atom: 32.79
DFT formation energy, eV/atom: 0.182
Energy above the lowest structure with this stoichiometry, meV per atom: 34

***

Record 3
Below is crystalline ZrCr2Si at its relaxed geometry, with properties calculated at the PBE level.

Cell: 7.034 7.034 5.149 Å, 90.00 90.00 90.00°
Space group I-42d (No. 122)
Asymmetric unit:
Zr1 0.000 0.000 0.000 [4 per cell]
Cr1 0.194 0.250 0.625 [8 per cell]
Si1 0.000 0.000 0.500 [4 per cell]

Results
Volume, Å³/atom: 15.92
ΔE_f (raw), eV per atom: 0.46

***

- What is the volume in the first record?
  32.66 Å³/atom

***

- What is the volume in the second record?
  32.79 Å³/atom

***

Please write out number 1 again, unchanged.
Below is crystalline Pm4SnHg at its relaxed geometry, with properties calculated at the PBE level.

Cell: 6.124 7.645 9.112 Å, 101.98 109.60 90.02°
Space group P-1 (No. 2)
Asymmetric unit:
Pm1 0.029 0.111 0.301 [2 per cell]
Pm2 0.271 0.611 0.301 [2 per cell]
Pm3 0.305 0.555 0.854 [2 per cell]
Pm4 0.450 0.944 0.146 [2 per cell]
Sn1 0.123 0.250 0.000 [2 per cell]
Hg1 0.000 0.500 0.500 [1 per cell]
Hg2 0.500 0.000 0.500 [1 per cell]

Results
Volume, Å³/atom: 32.66
DFT formation energy, eV/atom: -0.254